A geometry-optimized Hg2RuI structure. Source: the Alexandria database, functional GGA-PBEsol.

The calculation puts the energy at -2.2729 eV per atom. The value obtained for the density of states at the Fermi level is 2.02 states/eV/f.u. The calculation puts the calculated volume at 344 Å³ per cell. As for the crystal system: cubic.

It has space group Fm-3m (No. 225), with a = 7.006 Å, b = 7.006 Å, c = 7.006 Å, α = 90.00°, β = 90.00° and γ = 90.00°. Symmetry generates all atoms from Hg at (0.250, 0.250, 0.250), Ru at (0.000, 0.000, 0.000) and I at (0.000, 0.000, 0.500).